No. 1
Here is a geometry-optimized KTaSeN2 structure from Alexandria. Energies are from GGA-PBE.

Summary:
- E_tot (eV per atom) = -6.752
- calculated volume (Å³/cell) = 91.18
- DOS(E_F) (states/eV/atom) = 0.72
- calculated density (Mg/m³) = 5.96
- ΔE_f (raw) (eV/atom) = -0.13

Cell and atoms, written as extended XYZ:
```
5
Lattice="4.178 0.000 0.000 0.000 4.178 0.000 0.000 0.000 5.223" Properties=species:S:1:pos:R:3 pbc="T T T"
K 0.000 0.000 0.000
Ta 2.089 2.089 2.611
Se 2.089 2.089 0.000
N 0.000 2.089 2.611
N 2.089 0.000 2.611
```

=====

No. 2
Here is a geometry-optimized KTaSeN2 structure from Alexandria. Energies are from GGA-PBE.

Summary:
- E_tot (eV per atom) = -3.907
- calculated volume (Å³/cell) = 88.82
- DOS(E_F) (states/eV/atom) = 1.04
- calculated density (Mg/m³) = 6.11
- ΔE_f (raw) (eV/atom) = 2.71

Cell and atoms, written as extended XYZ:
```
5
Lattice="4.101 0.000 0.000 0.000 4.101 0.000 0.000 0.000 5.280" Properties=species:S:1:pos:R:3 pbc="T T T"
K 0.000 0.000 0.000
Ta 2.051 2.051 2.640
Se 0.000 0.000 2.640
N 0.000 2.051 0.000
N 2.051 0.000 0.000
```

=====

No. 3
Here is a geometry-optimized KTcSeN2 structure from Alexandria. Energies are from GGA-PBE.

Summary:
- E_tot (eV per atom) = -3.184
- calculated volume (Å³/cell) = 92.21
- DOS(E_F) (states/eV/atom) = 2.29
- calculated density (Mg/m³) = 4.40
- ΔE_f (raw) (eV/atom) = 3.14

Cell and atoms, written as extended XYZ:
```
5
Lattice="4.102 0.000 0.000 0.000 4.102 0.000 0.000 0.000 5.481" Properties=species:S:1:pos:R:3 pbc="T T T"
K 0.000 0.000 0.000
Tc 2.051 2.051 2.740
Se 0.000 0.000 2.740
N 0.000 2.051 0.000
N 2.051 0.000 0.000
```

=====

No. 4
Here is a geometry-optimized KTcSe2N structure from Alexandria. Energies are from GGA-PBE.

Summary:
- E_tot (eV per atom) = -3.274
- calculated volume (Å³/cell) = 151.30
- DOS(E_F) (states/eV/atom) = 0.73
- calculated density (Mg/m³) = 3.39
- ΔE_f (raw) (eV/atom) = 2.08

Cell and atoms, written as extended XYZ:
```
5
Lattice="5.676 0.000 0.000 0.000 5.676 0.000 0.000 0.000 4.697" Properties=species:S:1:pos:R:3 pbc="T T T"
K 0.000 0.000 0.000
Tc 2.838 2.838 2.348
Se 0.000 2.838 0.000
Se 2.838 0.000 0.000
N 0.000 0.000 2.348
```

=====

No. 5
Here is a geometry-optimized KTcSeN2 structure from Alexandria. Energies are from GGA-PBE.

Summary:
- E_tot (eV per atom) = -5.964
- calculated volume (Å³/cell) = 83.16
- DOS(E_F) (states/eV/atom) = 0.64
- calculated density (Mg/m³) = 4.87
- ΔE_f (raw) (eV/atom) = 0.36

Cell and atoms, written as extended XYZ:
```
5
Lattice="3.995 0.000 0.000 0.000 3.995 0.000 0.000 0.000 5.211" Properties=species:S:1:pos:R:3 pbc="T T T"
K 0.000 0.000 0.000
Tc 1.998 1.998 2.605
Se 1.998 1.998 0.000
N 0.000 1.998 2.605
N 1.998 0.000 2.605
```

=====

No. 6
Here is a geometry-optimized KTcSe2N structure from Alexandria. Energies are from GGA-PBE.

Summary:
- E_tot (eV per atom) = -5.446
- calculated volume (Å³/cell) = 103.48
- DOS(E_F) (states/eV/atom) = 0.69
- calculated density (Mg/m³) = 4.96
- ΔE_f (raw) (eV/atom) = -0.09

Cell and atoms, written as extended XYZ:
```
5
Lattice="5.236 0.000 0.000 0.000 5.236 0.000 0.000 0.000 3.774" Properties=species:S:1:pos:R:3 pbc="T T T"
K 0.000 0.000 0.000
Tc 2.618 2.618 1.887
Se 0.000 2.618 1.887
Se 2.618 0.000 1.887
N 2.618 2.618 0.000
```

=====

No. 7
Here is a geometry-optimized KTeSe2N structure from Alexandria. Energies are from GGA-PBE.

Summary:
- E_tot (eV per atom) = -3.545
- calculated volume (Å³/cell) = 131.18
- DOS(E_F) (states/eV/atom) = 0.69
- calculated density (Mg/m³) = 4.29
- ΔE_f (raw) (eV/atom) = 0.36

Cell and atoms, written as extended XYZ:
```
5
Lattice="5.536 0.000 0.000 0.000 5.536 0.000 0.000 0.000 4.281" Properties=species:S:1:pos:R:3 pbc="T T T"
K 0.000 0.000 0.000
Te 2.768 2.768 2.140
Se 0.000 2.768 2.140
Se 2.768 0.000 2.140
N 2.768 2.768 0.000
```

=====

No. 8
Here is a geometry-optimized KTeSe2N structure from Alexandria. Energies are from GGA-PBE.

Summary:
- E_tot (eV per atom) = -2.396
- calculated volume (Å³/cell) = 159.89
- DOS(E_F) (states/eV/atom) = 1.28
- calculated density (Mg/m³) = 3.52
- ΔE_f (raw) (eV/atom) = 1.51

Cell and atoms, written as extended XYZ:
```
5
Lattice="5.802 0.000 0.000 0.000 5.802 0.000 0.000 0.000 4.749" Properties=species:S:1:pos:R:3 pbc="T T T"
K 0.000 0.000 0.000
Te 2.901 2.901 2.375
Se 0.000 2.901 0.000
Se 2.901 0.000 0.000
N 0.000 0.000 2.375
```

=====

No. 9
Here is a geometry-optimized KTiSeN2 structure from Alexandria. Energies are from GGA-PBE.

Summary:
- E_tot (eV per atom) = -3.522
- calculated volume (Å³/cell) = 95.48
- DOS(E_F) (states/eV/atom) = 1.30
- calculated density (Mg/m³) = 3.37
- ΔE_f (raw) (eV/atom) = 2.30

Cell and atoms, written as extended XYZ:
```
5
Lattice="4.164 0.000 0.000 0.000 4.164 0.000 0.000 0.000 5.506" Properties=species:S:1:pos:R:3 pbc="T T T"
K 0.000 0.000 0.000
Ti 2.082 2.082 2.753
Se 0.000 0.000 2.753
N 0.000 2.082 0.000
N 2.082 0.000 0.000
```

=====

No. 10
Here is a geometry-optimized KTiSe2N structure from Alexandria. Energies are from GGA-PBE.

Summary:
- E_tot (eV per atom) = -3.336
- calculated volume (Å³/cell) = 145.83
- DOS(E_F) (states/eV/atom) = 1.42
- calculated density (Mg/m³) = 2.95
- ΔE_f (raw) (eV/atom) = 1.52

Cell and atoms, written as extended XYZ:
```
5
Lattice="5.633 0.000 0.000 0.000 5.633 0.000 0.000 0.000 4.596" Properties=species:S:1:pos:R:3 pbc="T T T"
K 0.000 0.000 0.000
Ti 2.817 2.817 2.298
Se 0.000 2.817 0.000
Se 2.817 0.000 0.000
N 0.000 0.000 2.298
```

=====

No. 11
Here is a geometry-optimized KTiSe2N structure from Alexandria. Energies are from GGA-PBE.

Summary:
- E_tot (eV per atom) = -5.354
- calculated volume (Å³/cell) = 107.40
- DOS(E_F) (states/eV/atom) = 0.48
- calculated density (Mg/m³) = 4.00
- ΔE_f (raw) (eV/atom) = -0.50

Cell and atoms, written as extended XYZ:
```
5
Lattice="5.206 0.000 0.000 0.000 5.206 0.000 0.000 0.000 3.963" Properties=species:S:1:pos:R:3 pbc="T T T"
K 0.000 0.000 0.000
Ti 2.603 2.603 1.982
Se 0.000 2.603 1.982
Se 2.603 0.000 1.982
N 2.603 2.603 0.000
```

=====

No. 12
Here is a geometry-optimized KTiSeN2 structure from Alexandria. Energies are from GGA-PBE.

Summary:
- E_tot (eV per atom) = -5.778
- calculated volume (Å³/cell) = 89.06
- DOS(E_F) (states/eV/atom) = 0.62
- calculated density (Mg/m³) = 3.62
- ΔE_f (raw) (eV/atom) = 0.05

Cell and atoms, written as extended XYZ:
```
5
Lattice="4.192 0.000 0.000 0.000 4.192 0.000 0.000 0.000 5.068" Properties=species:S:1:pos:R:3 pbc="T T T"
K 0.000 0.000 0.000
Ti 2.096 2.096 2.534
Se 2.096 2.096 0.000
N 0.000 2.096 2.534
N 2.096 0.000 2.534
```